The following is a PBE-GGA calculation of crystalline Nd3Y2Ho2 at its relaxed geometry, from Alexandria.

Computed properties:
- SG: C2/m
- Distance to the lowest polymorph of the same formula: 0.000 eV/atom

Cell and atoms, written as POSCAR:
```
Nd3Y2Ho2
1.0
5.979 -1.804 0.000
5.979 1.804 0.000
-1.112 0.000 10.752
Nd Y Ho
3 2 2
Direct
0.000 0.000 0.000
0.142 0.142 0.570
0.858 0.858 0.430
0.285 0.285 0.142
0.715 0.715 0.858
0.428 0.428 0.716
0.572 0.572 0.284
```



The following is a PBE-GGA calculation of crystalline Nd6YHo at its relaxed geometry, from Alexandria.

Computed properties:
- SG: Fmmm

Cell and atoms, written as POSCAR:
```
Nd6YHo
1.0
0.000 5.129 7.305
3.674 0.000 7.305
3.674 5.129 0.000
Nd Y Ho
6 1 1
Direct
0.124 0.124 0.376
0.249 0.249 0.751
0.376 0.376 0.124
0.624 0.624 0.876
0.751 0.751 0.249
0.876 0.876 0.624
0.500 0.500 0.500
0.000 0.000 0.000
```



The following is a PBE-GGA calculation of crystalline Nd3Y5Ho4 at its relaxed geometry, from Alexandria.

Computed properties:
- SG: P-1
- Distance to the lowest polymorph of the same formula: 0.000 eV/atom

Cell and atoms, written as POSCAR:
```
Nd3Y5Ho4
1.0
6.196 0.000 0.000
0.020 7.165 0.000
3.097 1.820 8.779
Nd Y Ho
3 5 4
Direct
0.000 0.000 0.000
0.166 0.916 0.335
0.834 0.084 0.665
0.000 0.500 0.000
0.333 0.335 0.665
0.499 0.748 0.000
0.501 0.252 0.000
0.667 0.665 0.335
0.166 0.417 0.333
0.334 0.832 0.667
0.666 0.168 0.333
0.834 0.583 0.667
```



The following is a PBE-GGA calculation of crystalline Nd4YHo7 at its relaxed geometry, from Alexandria.

Computed properties:
- SG: P-1
- Distance to the lowest polymorph of the same formula: 0.000 eV/atom

Cell and atoms, written as POSCAR:
```
Nd4YHo7
1.0
6.573 0.000 0.000
0.997 6.788 0.000
1.994 0.523 8.829
Nd Y Ho
4 1 7
Direct
0.138 0.306 0.286
0.337 0.886 0.692
0.663 0.114 0.308
0.862 0.694 0.714
0.500 0.500 0.000
0.012 0.253 0.951
0.182 0.797 0.356
0.313 0.395 0.618
0.500 0.000 0.000
0.687 0.605 0.382
0.818 0.203 0.644
0.988 0.747 0.049
```



We obtain theoretical density values of 6.73, 6.75, 6.55, 7.67 g/cm3 for the records listed above, in that order.
We obtain Fermi-level density of states values of 1.2948, 1.5674, 1.4223, 1.5809 states/eV/atom for the records listed above, in that order.
We obtain calculated formation energy values of 17, 15, 20, 86 meV per atom for the records listed above, in that order.